! Pm2Er2ZnGa4 PBE relaxed; values from VASP
&SYSTEM
  ibrav = 0, nat = 9, ntyp = 4
/
ATOMIC_SPECIES
Zn 65.41 Zn.upf
Pm 145.00 Pm.upf
Ga 69.72 Ga.upf
Er 167.26 Er.upf
CELL_PARAMETERS angstrom
6.592 0.145 0.210
-3.037 5.852 -0.210
-3.037 -2.253 5.406
ATOMIC_POSITIONS angstrom
Zn 0.000 0.000 0.000
Pm 0.259 3.899 1.299
Pm 0.259 -0.154 4.107
Ga -3.037 -0.253 4.020
Ga -3.037 3.853 1.175
Ga 1.754 0.960 1.385
Er -4.163 2.468 3.562
Er -1.910 1.132 1.634
Ga -1.235 2.785 4.020
! E = -3.882 eV/atom